# 1
This record from Alexandria describes an optimized crystal structure of Nd3Sm2Th4. The functional is PBE.

DFT formation energy	0.07	eV per atom
ρ	9.16	g/cm3
electronic total energy	-52.75	eV for the cell shown
symmetry	P-1 (2)
magnetization	0.00	μB per formula unit

Unit cell a=6.2674 b=6.2696 c=9.5363 alpha=89.88 beta=70.98 gamma=60.15
Fractional coordinates of all 9 atoms:
1 Nd 0.0000 0.0000 0.0000
2 Nd 0.2188 0.5558 0.6698
3 Nd 0.7812 0.4442 0.3302
4 Sm 0.1118 0.7723 0.3298
5 Sm 0.8882 0.2277 0.6702
6 Th 0.3370 0.3272 0.0001
7 Th 0.4456 0.1015 0.3301
8 Th 0.5544 0.8985 0.6699
9 Th 0.6630 0.6728 0.9999

***

# 2
This record from Alexandria describes an optimized crystal structure of NdSmTh. The functional is PBE.

DFT formation energy	0.03	eV per atom
ρ	8.64	g/cm3
electronic total energy	-16.82	eV for the cell shown
symmetry	P3m1 (156)
offset from the most stable computed form	14	meV/atom
magnetization	0.00	μB per formula unit

Unit cell a=3.6209 b=3.6209 c=8.9166 alpha=90.00 beta=90.00 gamma=120.00
Fractional coordinates of all 3 atoms:
1 Nd 0.0000 0.0000 0.0000
2 Sm 0.6667 0.3333 0.3567
3 Th 0.3333 0.6667 0.6762

***

# 3
This record from Alexandria describes an optimized crystal structure of NdSm9Th2. The functional is PBE.

DFT formation energy	0.04	eV per atom
ρ	8.09	g/cm3
electronic total energy	-61.63	eV for the cell shown
symmetry	P4/mmm (123)
magnetization	0.00	μB per formula unit

Unit cell a=5.1185 b=5.1185 c=15.3656 alpha=90.00 beta=90.00 gamma=90.00
Fractional coordinates of all 12 atoms:
1 Nd 0.0000 0.0000 0.0000
2 Sm 0.0000 0.5000 0.1703
3 Sm 0.0000 0.5000 0.5000
4 Sm 0.0000 0.5000 0.8297
5 Sm 0.5000 0.0000 0.1703
6 Sm 0.5000 0.0000 0.5000
7 Sm 0.5000 0.0000 0.8297
8 Sm 0.5000 0.5000 0.0000
9 Sm 0.5000 0.5000 0.3340
10 Sm 0.5000 0.5000 0.6660
11 Th 0.0000 0.0000 0.3342
12 Th 0.0000 0.0000 0.6658

***

# 4
This record from Alexandria describes an optimized crystal structure of NdSm4Th. The functional is PBE.

DFT formation energy	0.32	eV per atom
ρ	7.90	g/cm3
electronic total energy	-29.13	eV for the cell shown
symmetry	F-43m (216)
offset from the most stable computed form	290	meV/atom
magnetization	1.77	μB per formula unit

Unit cell a=6.6252 b=6.6252 c=6.6252 alpha=60.00 beta=60.00 gamma=60.00
Fractional coordinates of all 6 atoms:
1 Nd 0.0000 0.0000 0.0000
2 Sm 0.3757 0.3757 0.3757
3 Sm 0.3757 0.3757 0.8729
4 Sm 0.3757 0.8729 0.3757
5 Sm 0.8729 0.3757 0.3757
6 Th 0.7500 0.7500 0.7500

***

# 5
This record from Alexandria describes an optimized crystal structure of Nd3Sm4Th. The functional is PBE.

DFT formation energy	0.16	eV per atom
ρ	7.62	g/cm3
electronic total energy	-78.66	eV for the cell shown
symmetry	C2/m (12)
magnetization	0.00	μB per formula unit

Unit cell a=23.7057 b=3.5011 c=6.9565 alpha=90.00 beta=107.02 gamma=90.00
Fractional coordinates of all 16 atoms:
1 Nd 0.0000 0.0000 0.0000
2 Nd 0.1230 0.0000 0.8601
3 Nd 0.3770 0.5000 0.1399
4 Nd 0.5000 0.5000 0.0000
5 Nd 0.6230 0.5000 0.8601
6 Nd 0.8770 0.0000 0.1399
7 Sm 0.1231 0.0000 0.3868
8 Sm 0.2427 0.5000 0.7404
9 Sm 0.2573 0.0000 0.2596
10 Sm 0.3769 0.5000 0.6132
11 Sm 0.6231 0.5000 0.3868
12 Sm 0.7427 0.0000 0.7404
13 Sm 0.7573 0.5000 0.2596
14 Sm 0.8769 0.0000 0.6132
15 Th 0.0000 0.5000 0.5000
16 Th 0.5000 0.0000 0.5000

***

# 6
This record from Alexandria describes an optimized crystal structure of Nd5Sm4Th. The functional is PBE.

DFT formation energy	0.03	eV per atom
ρ	7.46	g/cm3
electronic total energy	-49.86	eV for the cell shown
symmetry	P4/mmm (123)
offset from the most stable computed form	3	meV/atom
magnetization	0.00	μB per formula unit

Unit cell a=3.6534 b=3.6534 c=25.9105 alpha=90.00 beta=90.00 gamma=90.00
Fractional coordinates of all 10 atoms:
1 Nd 0.0000 0.0000 0.0000
2 Nd 0.0000 0.0000 0.2008
3 Nd 0.0000 0.0000 0.4047
4 Nd 0.0000 0.0000 0.5953
5 Nd 0.0000 0.0000 0.7992
6 Sm 0.5000 0.5000 0.0998
7 Sm 0.5000 0.5000 0.2998
8 Sm 0.5000 0.5000 0.7002
9 Sm 0.5000 0.5000 0.9002
10 Th 0.5000 0.5000 0.5000

***

# 7
This record from Alexandria describes an optimized crystal structure of NdSmTh. The functional is PBE.

DFT formation energy	0.89	eV per atom
ρ	7.61	g/cm3
electronic total energy	-56.91	eV for the cell shown
symmetry	Cmmm (65)
offset from the most stable computed form	877	meV/atom
magnetization	0.00	μB per formula unit

Unit cell a=8.8678 b=9.1363 c=5.6732 alpha=90.00 beta=90.00 gamma=90.00
Fractional coordinates of all 12 atoms:
1 Nd 0.0000 0.0000 0.0000
2 Nd 0.0000 0.5000 0.5000
3 Nd 0.5000 0.0000 0.5000
4 Nd 0.5000 0.5000 0.0000
5 Sm 0.1787 0.0000 0.5000
6 Sm 0.3213 0.5000 0.5000
7 Sm 0.6787 0.5000 0.5000
8 Sm 0.8213 0.0000 0.5000
9 Th 0.0000 0.3205 0.0000
10 Th 0.0000 0.6795 0.0000
11 Th 0.5000 0.1795 0.0000
12 Th 0.5000 0.8205 0.0000

***

# 8
This record from Alexandria describes an optimized crystal structure of NdSm7Th2. The functional is PBE.

DFT formation energy	0.04	eV per atom
ρ	8.21	g/cm3
electronic total energy	-52.21	eV for the cell shown
symmetry	P-1 (2)
magnetization	0.00	μB per formula unit

Unit cell a=6.2698 b=6.2794 c=9.5821 alpha=109.07 beta=102.59 gamma=99.66
Fractional coordinates of all 10 atoms:
1 Nd 0.0000 0.0000 0.0000
2 Sm 0.1924 0.3975 0.4011
3 Sm 0.3014 0.5996 0.0996
4 Sm 0.3940 0.7985 0.7974
5 Sm 0.5000 0.0000 0.5000
6 Sm 0.6060 0.2015 0.2026
7 Sm 0.6986 0.4004 0.9004
8 Sm 0.8076 0.6025 0.5989
9 Th 0.0956 0.1938 0.6944
10 Th 0.9044 0.8062 0.3056

***

# 9
This record from Alexandria describes an optimized crystal structure of Nd3Sm4Th2. The functional is PBE.

DFT formation energy	0.06	eV per atom
ρ	8.14	g/cm3
electronic total energy	-94.91	eV for the cell shown
symmetry	P-1 (2)
offset from the most stable computed form	0	meV/atom
magnetization	0.00	μB per formula unit

Unit cell a=7.1632 b=8.5935 c=10.5022 alpha=98.62 beta=99.74 gamma=102.08
Fractional coordinates of all 18 atoms:
1 Nd 0.0306 0.1692 0.4484
2 Nd 0.2548 0.5029 0.9943
3 Nd 0.3618 0.1712 0.7705
4 Nd 0.6382 0.8288 0.2295
5 Nd 0.7452 0.4971 0.0057
6 Nd 0.9694 0.8308 0.5516
7 Sm 0.0642 0.8415 0.8933
8 Sm 0.1428 0.8316 0.2364
9 Sm 0.3293 0.4755 0.3371
10 Sm 0.4719 0.8343 0.5579
11 Sm 0.5281 0.1657 0.4421
12 Sm 0.6707 0.5245 0.6629
13 Sm 0.8572 0.1684 0.7636
14 Sm 0.9358 0.1585 0.1067
15 Th 0.1711 0.5272 0.6598
16 Th 0.4462 0.1597 0.1103
17 Th 0.5538 0.8403 0.8897
18 Th 0.8289 0.4728 0.3402

***

# 10
This record from Alexandria describes an optimized crystal structure of Nd3SmTh. The functional is PBE.

DFT formation energy	0.05	eV per atom
ρ	7.90	g/cm3
electronic total energy	-52.34	eV for the cell shown
symmetry	C2/m (12)
offset from the most stable computed form	35	meV/atom
magnetization	0.00	μB per formula unit

Unit cell a=7.0738 b=7.0738 c=14.9901 alpha=110.02 beta=110.02 gamma=29.26
Fractional coordinates of all 10 atoms:
1 Nd 0.0316 0.0316 0.4051
2 Nd 0.1346 0.1346 0.0088
3 Nd 0.4338 0.4338 0.7955
4 Nd 0.5662 0.5662 0.2045
5 Nd 0.8654 0.8654 0.9912
6 Nd 0.9684 0.9684 0.5949
7 Sm 0.1779 0.1779 0.7921
8 Sm 0.8221 0.8221 0.2079
9 Th 0.2777 0.2777 0.4032
10 Th 0.7223 0.7223 0.5968

***

# 11
This record from Alexandria describes an optimized crystal structure of Nd8SmTh2. The functional is PBE.

DFT formation energy	0.19	eV per atom
ρ	7.61	g/cm3
electronic total energy	-55.58	eV for the cell shown
symmetry	C2/m (12)
magnetization	0.00	μB per formula unit

Unit cell a=9.4978 b=9.4978 c=6.0951 alpha=105.61 beta=105.61 gamma=122.31
Fractional coordinates of all 11 atoms:
1 Nd 0.1003 0.3365 0.6803
2 Nd 0.2063 0.7937 0.0000
3 Nd 0.3365 0.1003 0.6803
4 Nd 0.4215 0.4215 0.2065
5 Nd 0.5785 0.5785 0.7935
6 Nd 0.6635 0.8997 0.3197
7 Nd 0.7937 0.2063 0.0000
8 Nd 0.8997 0.6635 0.3197
9 Sm 0.0000 0.0000 0.0000
10 Th 0.3078 0.6922 0.5000
11 Th 0.6922 0.3078 0.5000

***

# 12
This record from Alexandria describes an optimized crystal structure of NdSm8Th2. The functional is PBE.

DFT formation energy	0.19	eV per atom
ρ	7.72	g/cm3
electronic total energy	-55.24	eV for the cell shown
symmetry	C2/m (12)
offset from the most stable computed form	0	meV/atom
magnetization	0.00	μB per formula unit

Unit cell a=10.3148 b=10.3148 c=5.6786 alpha=92.60 beta=92.60 gamma=40.23
Fractional coordinates of all 11 atoms:
1 Nd 0.0000 0.0000 0.0000
2 Sm 0.1370 0.5990 0.2637
3 Sm 0.1836 0.1836 0.2270
4 Sm 0.4010 0.8630 0.7363
5 Sm 0.4520 0.4520 0.7638
6 Sm 0.5480 0.5480 0.2362
7 Sm 0.5990 0.1370 0.2637
8 Sm 0.8164 0.8164 0.7730
9 Sm 0.8630 0.4010 0.7363
10 Th 0.2813 0.2813 0.7294
11 Th 0.7187 0.7187 0.2706

***

# 13
This record from Alexandria describes an optimized crystal structure of Nd4Sm10Th. The functional is PBE.

DFT formation energy	0.35	eV per atom
ρ	7.40	g/cm3
electronic total energy	-68.46	eV for the cell shown
symmetry	I4/m (87)
magnetization	0.00	μB per formula unit

Unit cell a=8.7775 b=8.7775 c=8.7775 alpha=111.54 beta=111.54 gamma=105.41
Fractional coordinates of all 15 atoms:
1 Nd 0.0564 0.3286 0.3849
2 Nd 0.3286 0.9436 0.2722
3 Nd 0.6714 0.0564 0.7278
4 Nd 0.9436 0.6714 0.6151
5 Sm 0.1338 0.4573 0.9118
6 Sm 0.2221 0.1338 0.6765
7 Sm 0.2500 0.7500 0.5000
8 Sm 0.4545 0.7779 0.9118
9 Sm 0.4573 0.5455 0.3235
10 Sm 0.5427 0.4545 0.6765
11 Sm 0.5455 0.2221 0.0882
12 Sm 0.7500 0.2500 0.5000
13 Sm 0.7779 0.8662 0.3235
14 Sm 0.8662 0.5427 0.0882
15 Th 0.0000 0.0000 0.0000

***

# 14
This record from Alexandria describes an optimized crystal structure of Nd6Sm12Th. The functional is PBE.

DFT formation energy	0.13	eV per atom
ρ	7.28	g/cm3
electronic total energy	-90.11	eV for the cell shown
symmetry	R-3 (148)
offset from the most stable computed form	12	meV/atom
magnetization	0.00	μB per formula unit

Unit cell a=8.7136 b=8.7136 c=8.7136 alpha=89.44 beta=89.44 gamma=89.44
Fractional coordinates of all 19 atoms:
1 Nd 0.1955 0.7573 0.5908
2 Nd 0.2427 0.4092 0.8045
3 Nd 0.4092 0.8045 0.2427
4 Nd 0.5908 0.1955 0.7573
5 Nd 0.7573 0.5908 0.1955
6 Nd 0.8045 0.2427 0.4092
7 Sm 0.0365 0.9394 0.2777
8 Sm 0.0606 0.7223 0.9635
9 Sm 0.1480 0.4848 0.2998
10 Sm 0.2777 0.0365 0.9394
11 Sm 0.2998 0.1480 0.4848
12 Sm 0.4848 0.2998 0.1480
13 Sm 0.5152 0.7002 0.8520
14 Sm 0.7002 0.8520 0.5152
15 Sm 0.7223 0.9635 0.0606
16 Sm 0.8520 0.5152 0.7002
17 Sm 0.9394 0.2777 0.0365
18 Sm 0.9635 0.0606 0.7223
19 Th 0.5000 0.5000 0.5000

***

# 15
This record from Alexandria describes an optimized crystal structure of Nd3Sm8Th3. The functional is PBE.

DFT formation energy	0.18	eV per atom
ρ	8.06	g/cm3
electronic total energy	-71.86	eV for the cell shown
symmetry	Immm (71)
magnetization	0.00	μB per formula unit

Unit cell a=9.6216 b=9.6216 c=9.6216 alpha=145.54 beta=98.55 gamma=91.54
Fractional coordinates of all 14 atoms:
1 Nd 0.0000 0.0000 0.0000
2 Nd 0.2809 0.0000 0.2809
3 Nd 0.7191 0.0000 0.7191
4 Sm 0.0204 0.3831 0.6372
5 Sm 0.1161 0.2557 0.8604
6 Sm 0.2541 0.6169 0.6372
7 Sm 0.3952 0.2557 0.1396
8 Sm 0.6048 0.7443 0.8604
9 Sm 0.7459 0.3831 0.3628
10 Sm 0.8839 0.7443 0.1396
11 Sm 0.9796 0.6169 0.3628
12 Th 0.3486 0.8486 0.5000
13 Th 0.5000 0.5000 0.0000
14 Th 0.6514 0.1514 0.5000

***

# 16
This record from Alexandria describes an optimized crystal structure of Nd3Sm3Th. The functional is PBE.

DFT formation energy	0.24	eV per atom
ρ	7.48	g/cm3
electronic total energy	-68.37	eV for the cell shown
symmetry	R-3 (148)
magnetization	0.00	μB per formula unit

Unit cell a=8.8706 b=8.8706 c=8.8706 alpha=60.14 beta=60.14 gamma=60.14
Fractional coordinates of all 14 atoms:
1 Nd 0.0598 0.5660 0.2218
2 Nd 0.2218 0.0598 0.5660
3 Nd 0.4340 0.7782 0.9402
4 Nd 0.5660 0.2218 0.0598
5 Nd 0.7782 0.9402 0.4340
6 Nd 0.9402 0.4340 0.7782
7 Sm 0.2048 0.6869 0.4390
8 Sm 0.3131 0.5610 0.7952
9 Sm 0.4390 0.2048 0.6869
10 Sm 0.5610 0.7952 0.3131
11 Sm 0.6869 0.4390 0.2048
12 Sm 0.7952 0.3131 0.5610
13 Th 0.1494 0.1494 0.1494
14 Th 0.8506 0.8506 0.8506

***

# 17
This record from Alexandria describes an optimized crystal structure of Nd7Sm4Th. The functional is PBE.

DFT formation energy	0.26	eV per atom
ρ	7.14	g/cm3
electronic total energy	-56.50	eV for the cell shown
symmetry	C2/m (12)
offset from the most stable computed form	241	meV/atom
magnetization	0.00	μB per formula unit

Unit cell a=6.8481 b=6.8481 c=12.9378 alpha=114.86 beta=114.86 gamma=53.19
Fractional coordinates of all 12 atoms:
1 Nd 0.0000 0.0000 0.0000
2 Nd 0.2093 0.2093 0.9214
3 Nd 0.2400 0.2400 0.6784
4 Nd 0.3707 0.3707 0.5001
5 Nd 0.6293 0.6293 0.4999
6 Nd 0.7600 0.7600 0.3216
7 Nd 0.7907 0.7907 0.0786
8 Sm 0.0648 0.0648 0.3213
9 Sm 0.3629 0.3629 0.2229
10 Sm 0.6371 0.6371 0.7771
11 Sm 0.9352 0.9352 0.6787
12 Th 0.5000 0.5000 0.0000

***

# 18
This record from Alexandria describes an optimized crystal structure of Nd6Sm2Th. The functional is PBE.

DFT formation energy	0.07	eV per atom
ρ	7.36	g/cm3
electronic total energy	-44.86	eV for the cell shown
symmetry	P-6m2 (187)
magnetization	0.00	μB per formula unit

Unit cell a=3.6505 b=3.6505 c=27.3378 alpha=90.00 beta=90.00 gamma=120.00
Fractional coordinates of all 9 atoms:
1 Nd 0.0000 0.0000 0.0644
2 Nd 0.0000 0.0000 0.2810
3 Nd 0.0000 0.0000 0.7190
4 Nd 0.0000 0.0000 0.9356
5 Nd 0.3333 0.6667 0.3922
6 Nd 0.3333 0.6667 0.6078
7 Sm 0.3333 0.6667 0.1702
8 Sm 0.3333 0.6667 0.8298
9 Th 0.0000 0.0000 0.5000

***

# 19
This record from Alexandria describes an optimized crystal structure of Nd5Sm4Th2. The functional is PBE.

DFT formation energy	0.13	eV per atom
ρ	7.79	g/cm3
electronic total energy	-56.13	eV for the cell shown
symmetry	P2/m (10)
magnetization	0.00	μB per formula unit

Unit cell a=9.0331 b=3.5247 c=12.0017 alpha=90.00 beta=94.26 gamma=90.00
Fractional coordinates of all 11 atoms:
1 Nd 0.0000 0.0000 0.0000
2 Nd 0.0795 0.0000 0.2877
3 Nd 0.3051 0.0000 0.8321
4 Nd 0.6949 0.0000 0.1679
5 Nd 0.9205 0.0000 0.7123
6 Sm 0.1967 0.5000 0.5472
7 Sm 0.3434 0.5000 0.1061
8 Sm 0.6566 0.5000 0.8939
9 Sm 0.8033 0.5000 0.4528
10 Th 0.4568 0.0000 0.3696
11 Th 0.5432 0.0000 0.6304

***

# 20
This record from Alexandria describes an optimized crystal structure of Nd4Sm15Th. The functional is PBE.

DFT formation energy	0.02	eV per atom
ρ	7.47	g/cm3
electronic total energy	-96.83	eV for the cell shown
symmetry	P4/mmm (123)
magnetization	0.00	μB per formula unit

Unit cell a=5.1502 b=5.1502 c=25.6982 alpha=90.00 beta=90.00 gamma=90.00
Fractional coordinates of all 20 atoms:
1 Nd 0.0000 0.0000 0.1001
2 Nd 0.0000 0.0000 0.3009
3 Nd 0.0000 0.0000 0.6991
4 Nd 0.0000 0.0000 0.8999
5 Sm 0.0000 0.5000 0.0000
6 Sm 0.0000 0.5000 0.2008
7 Sm 0.0000 0.5000 0.4027
8 Sm 0.0000 0.5000 0.5973
9 Sm 0.0000 0.5000 0.7992
10 Sm 0.5000 0.0000 0.0000
11 Sm 0.5000 0.0000 0.2008
12 Sm 0.5000 0.0000 0.4027
13 Sm 0.5000 0.0000 0.5973
14 Sm 0.5000 0.0000 0.7992
15 Sm 0.5000 0.5000 0.1003
16 Sm 0.5000 0.5000 0.3003
17 Sm 0.5000 0.5000 0.5000
18 Sm 0.5000 0.5000 0.6997
19 Sm 0.5000 0.5000 0.8997
20 Th 0.0000 0.0000 0.5000

***

# 21
This record from Alexandria describes an optimized crystal structure of Nd5Sm2Th2. The functional is PBE.

DFT formation energy	0.05	eV per atom
ρ	8.00	g/cm3
electronic total energy	-47.63	eV for the cell shown
symmetry	P-1 (2)
magnetization	0.00	μB per formula unit

Unit cell a=6.3091 b=6.3406 c=8.1274 alpha=82.96 beta=75.07 gamma=80.17
Fractional coordinates of all 9 atoms:
1 Nd 0.0000 0.0000 0.0000
2 Nd 0.1154 0.2256 0.5519
3 Nd 0.4484 0.8853 0.2304
4 Nd 0.5516 0.1147 0.7696
5 Nd 0.8846 0.7744 0.4481
6 Sm 0.2220 0.4461 0.1098
7 Sm 0.7780 0.5539 0.8902
8 Th 0.3380 0.6603 0.6650
9 Th 0.6620 0.3397 0.3350